VASP calculation (GGA-PBE) on crystalline ZnSe2SN at its relaxed geometry.

Output
The total DFT energy (no corrections) comes out at -3.29 eV per atom. For the uncorrected formation energy, the calculation gives 409 kJ/mol of formula units. The calculation puts the energy above the most stable polymorph in this dataset at 0.0 meV per atom.

Cell: 5.175 5.175 3.318 Å, 90.00 90.00 90.00°
Space group P4/mmm (No. 123)
Unique sites:
1 Zn 0.000 0.000 0.000 [1 per cell]
2 Se 0.000 0.500 0.500 [2 per cell]
3 S 0.500 0.500 0.500 [1 per cell]
4 N 0.500 0.500 0.000 [1 per cell]



VASP calculation (GGA-PBE) on crystalline Sr2PrSmS4 at its relaxed geometry.

Output
The total DFT energy (no corrections) comes out at -5.72 eV per atom. For the uncorrected formation energy, the calculation gives -1581 kJ/mol of formula units.

Cell: 7.135 4.123 7.296 Å, 90.00 109.04 90.00°
Space group P2/m (No. 10)
Unique sites:
1 Sr 0.000 0.000 0.000 [1 per cell]
2 Sr 0.500 0.500 0.000 [1 per cell]
3 Pr 0.000 0.500 0.500 [1 per cell]
4 Sm 0.500 0.000 0.500 [1 per cell]
5 S 0.251 0.000 0.741 [2 per cell]
6 S 0.258 0.500 0.262 [2 per cell]



VASP calculation (GGA-PBE) on crystalline Pm5ThGe6 at its relaxed geometry.

Output
The total DFT energy (no corrections) comes out at -5.59 eV per atom. For the calculated formation energy, the calculation gives -0.687 eV per atom.

Cell: 7.439 12.814 7.350 Å, 90.00 109.51 90.00°
Space group C2/m (No. 12)
Unique sites:
1 Pm 0.000 0.000 0.000 [2 per cell]
2 Pm 0.000 0.167 0.500 [4 per cell]
3 Pm 0.000 0.333 0.000 [4 per cell]
4 Th 0.000 0.500 0.500 [2 per cell]
5 Ge 0.249 0.500 0.251 [4 per cell]
6 Ge 0.250 0.166 0.250 [8 per cell]



VASP calculation (GGA-PBE) on crystalline YScBr3 at its relaxed geometry.

Output
The total DFT energy (no corrections) comes out at -5.02 eV per atom. For the uncorrected formation energy, the calculation gives -704 kJ/mol of formula units. The calculation puts the energy above the most stable polymorph in this dataset at 0.0 meV per atom.

Cell: 18.155 3.766 11.260 Å, 90.00 124.56 90.00°
Space group C2/m (No. 12)
Unique sites:
1 Y 0.133 0.000 0.280 [4 per cell]
2 Sc 0.067 0.500 0.961 [4 per cell]
3 Br 0.036 0.000 0.754 [4 per cell]
4 Br 0.166 0.500 0.508 [4 per cell]
5 Br 0.206 0.000 0.114 [4 per cell]



VASP calculation (GGA-PBE) on crystalline Pd2AuF6 at its relaxed geometry.

Output
The total DFT energy (no corrections) comes out at -3.79 eV per atom. For the uncorrected formation energy, the calculation gives -892 kJ/mol of formula units. The calculation puts the energy above the most stable polymorph in this dataset at 0.0 meV per atom.

Cell: 13.397 6.827 7.212 Å, 90.00 107.49 90.00°
Space group C2/c (No. 15)
Unique sites:
1 Pd 0.250 0.247 0.250 [8 per cell]
2 Au 0.000 0.003 0.750 [4 per cell]
3 F 0.094 0.219 0.177 [8 per cell]
4 F 0.094 0.226 0.677 [8 per cell]
5 F 0.243 0.496 0.396 [8 per cell]



VASP calculation (GGA-PBE) on crystalline LaHoAg2S4 at its relaxed geometry.

Output
The total DFT energy (no corrections) comes out at -5.15 eV per atom. For the uncorrected formation energy, the calculation gives -915 kJ/mol of formula units.

Cell: 6.861 7.091 7.695 Å, 90.00 90.00 90.00°
Space group I222 (No. 23)
Unique sites:
1 La 0.000 0.000 0.000 [2 per cell]
2 Ho 0.000 0.000 0.500 [2 per cell]
3 Ag 0.000 0.500 0.186 [4 per cell]
4 S 0.216 0.213 0.300 [8 per cell]



VASP calculation (GGA-PBE) on crystalline CuSbHRu2 at its relaxed geometry.

Output
The total DFT energy (no corrections) comes out at -5.91 eV per atom.

Cell: 4.116 4.116 3.682 Å, 90.00 90.00 90.00°
Space group P4/mmm (No. 123)
Unique sites:
1 Cu 0.000 0.000 0.000 [1 per cell]
2 Sb 0.500 0.500 0.000 [1 per cell]
3 H 0.000 0.000 0.500 [1 per cell]
4 Ru 0.000 0.500 0.500 [2 per cell]



VASP calculation (GGA-PBE) on crystalline Li2CoRu at its relaxed geometry.

Output
The total DFT energy (no corrections) comes out at -4.88 eV per atom. For the calculated formation energy, the calculation gives 0.171 eV per atom. The calculation puts the energy above the most stable polymorph in this dataset at 47.7 meV per atom.

Cell: 2.5840 2.5840 26.9425 Å, 90.00 90.00 120.00°
Space group R-3m (No. 166, hexagonal axes)
Unique sites:
1 Li 0.0000 0.0000 0.2490 [6 per cell]
2 Co 0.0000 0.0000 0.5000 [3 per cell]
3 Ru 0.0000 0.0000 0.0000 [3 per cell]